Entry 1:
The following is a PBE-GGA calculation of a geometry-optimized BaCrCo2 structure, from the Alexandria database.

POSCAR file:
```
BaCrCo2
1.0
6.2078 0.9553 -0.5736
3.0615 5.4842 0.5736
-4.1500 -3.9174 2.6851
Co Ba Cr
2 1 1
Cartesian
0.7216 1.6628 1.6293
0.3631 0.2522 0.0000
3.7090 0.3808 1.0558
4.9604 3.4461 0.0000
```

Excess energy over the best structure of this formula in the dataset (meV per atom): 321
Symmetry: Imm2



Entry 2:
The following is a PBE-GGA calculation of a geometry-optimized CdOsN2F structure, from the Alexandria database.

POSCAR file:
```
CdOsN2F
1.0
-2.3065 -0.0661 3.0756
2.9242 -1.2410 2.1663
1.1125 4.2366 0.9254
Cd Os F N
1 1 1 2
Cartesian
0.8651 1.4648 3.0836
0.0000 0.0000 0.0000
0.5563 2.1183 0.4627
-1.1532 -0.0330 1.5378
1.4621 -0.6205 1.0831
```

Excess energy over the best structure of this formula in the dataset (meV per atom): 0
Symmetry: P4/mmm



Entry 3:
The following is a PBE-GGA calculation of a geometry-optimized Tb8Er structure, from the Alexandria database.

POSCAR file:
```
Tb8Er
1.0
5.0106 0.0000 0.0000
2.5053 7.5299 0.0000
2.5053 0.0000 7.5299
Tb Er
8 1
Cartesian
5.0106 5.0221 5.0221
2.5053 2.5065 0.0000
2.5053 0.0000 2.5065
2.5053 2.5078 5.0221
5.0106 0.0000 5.0234
5.0106 2.5078 2.5078
5.0106 5.0234 0.0000
2.5053 5.0221 2.5078
0.0000 0.0000 0.0000
```

Symmetry: I4/mmm
E_tot (eV per atom): -4.606



Entry 4:
The following is a PBE-GGA calculation of a geometry-optimized Cr2Pt2Au structure, from the Alexandria database.

POSCAR file:
```
Cr2Pt2Au
1.0
7.4513 0.0000 0.0000
0.0000 7.4513 0.0000
0.0000 0.0000 2.7109
Pt Cr Au
4 4 2
Cartesian
2.4169 1.3087 1.3555
5.0344 6.1426 1.3555
1.3087 5.0344 1.3555
6.1426 2.4169 1.3555
6.6309 4.5461 0.0000
2.9053 6.6309 0.0000
4.5461 0.8204 0.0000
0.8204 2.9053 0.0000
3.7257 3.7257 0.0000
0.0000 0.0000 0.0000
```

Symmetry: P4/mbm
E_tot (eV per atom): -6.851



Entry 5:
The following is a PBE-GGA calculation of a geometry-optimized EuNiAg structure, from the Alexandria database.

POSCAR file:
```
EuNiAg
1.0
-1.8914 -2.8567 1.9521
3.8640 -2.0264 0.7784
-1.5516 2.9931 2.8768
Eu Ag Ni
1 1 1
Cartesian
-1.0072 -0.5844 3.4787
1.7437 -0.8291 1.8030
-0.3155 -0.4765 0.3256
```

Symmetry: P-6m2
E_tot (eV per atom): -6.375



Entry 6:
The following is a PBE-GGA calculation of a geometry-optimized Bi2As2O7 structure, from the Alexandria database.

POSCAR file:
```
Bi2As2O7
1.0
4.8908 0.0713 0.0000
-0.7513 5.9016 0.0000
0.0000 0.0000 11.9450
O As Bi
14 4 4
Cartesian
2.8640 5.6067 11.2508
3.5555 3.7581 3.4818
3.9311 0.8073 2.4908
1.2568 2.5429 2.4477
0.0000 0.0000 5.9725
0.8998 3.3170 5.2783
0.2083 5.1655 9.4543
0.5840 2.2147 8.4633
3.2583 0.4792 8.4202
1.2754 0.3662 0.6943
0.8812 5.4936 3.5248
3.2397 2.6559 6.6668
-0.3757 2.9508 0.0000
2.8826 3.4300 9.4973
0.1718 1.6216 1.3599
4.3433 1.4005 7.3324
-0.2039 4.5724 4.6127
3.9677 4.3512 10.5852
2.4294 1.9706 4.2404
2.0537 4.9213 1.7321
2.0857 1.0515 10.2130
1.7101 4.0023 7.7046
```

Excess energy over the best structure of this formula in the dataset (meV per atom): 0
Symmetry: P2_1/c



Entry 7:
The following is a PBE-GGA calculation of a geometry-optimized BaZnNi structure, from the Alexandria database.

POSCAR file:
```
BaZnNi
1.0
4.3357 0.0000 0.0000
-2.1678 3.7548 0.0000
0.0000 0.0000 4.6720
Zn Ni Ba
1 1 1
Cartesian
0.0000 0.0000 2.3360
2.1679 1.2516 2.3360
0.0000 2.5032 0.0000
```

Symmetry: P-6m2
E_tot (eV per atom): -3.091



Entry 8:
The following is a PBE-GGA calculation of a geometry-optimized AgPd2Pb2 structure, from the Alexandria database.

POSCAR file:
```
AgPd2Pb2
1.0
-3.6474 -5.4304 4.4313
6.0910 0.0157 5.0327
-1.5091 2.4977 1.8187
Pd Pb Ag
4 4 2
Cartesian
-1.2345 -0.7148 3.2080
2.1689 -2.2021 8.0747
-1.6937 -3.4265 6.5511
2.6281 0.5095 4.7316
3.8842 -1.8507 5.7648
1.5189 -0.8459 2.4221
-1.4406 -3.5640 3.6993
0.9247 -4.5688 7.0419
1.2218 -2.7073 4.7320
0.0000 0.0000 0.0000
```

Excess energy over the best structure of this formula in the dataset (meV per atom): 114
Symmetry: P4/mbm



Entry 9:
The following is a PBE-GGA calculation of a geometry-optimized KScHg2 structure, from the Alexandria database.

POSCAR file:
```
KScHg2
1.0
-0.2282 -5.3450 3.2318
0.4918 -5.4066 -3.0974
3.0320 5.4579 0.2918
Sc Hg K
1 2 1
Cartesian
1.4678 -2.6315 1.7955
1.8278 -2.6623 -1.3691
0.0000 0.0000 0.0000
0.1318 -5.3758 0.0672
```

Excess energy over the best structure of this formula in the dataset (meV per atom): 320
Symmetry: I-4m2



Entry 10:
The following is a PBE-GGA calculation of a geometry-optimized K2TeS2Cl2 structure, from the Alexandria database.

POSCAR file:
```
K2TeS2Cl2
1.0
-1.9557 -1.6845 -4.5062
-1.1876 -4.5447 2.2143
-5.6086 5.9862 3.1887
Cl K S Te
2 2 2 1
Cartesian
-2.3987 0.9593 0.6824
-6.3532 -1.2023 0.2144
-3.4776 -2.3524 -0.6037
-5.2743 2.1094 1.5005
-0.5938 -2.2724 1.1072
-0.9778 -0.8422 -2.2531
0.0000 0.0000 0.0000
```

Symmetry: I4/mmm
E_tot (eV per atom): -3.383



Entry 11:
The following is a PBE-GGA calculation of a geometry-optimized SbIN2F structure, from the Alexandria database.

POSCAR file:
```
SbIN2F
1.0
4.2673 0.0000 0.0000
0.0000 4.2673 0.0000
0.0000 0.0000 4.2027
F N I Sb
1 2 1 1
Cartesian
0.0000 0.0000 2.1013
0.0000 2.1336 0.0000
2.1336 0.0000 0.0000
2.1336 2.1336 2.1013
0.0000 0.0000 0.0000
```

Excess energy over the best structure of this formula in the dataset (meV per atom): 0
Symmetry: P4/mmm



Entry 12:
The following is a PBE-GGA calculation of a geometry-optimized MnSbPb2 structure, from the Alexandria database.

POSCAR file:
```
MnSbPb2
1.0
3.3637 0.0500 0.0000
-0.0600 3.3636 0.0000
0.0000 0.0000 9.1678
Pb Mn Sb
2 1 1
Cartesian
0.0000 0.0000 8.7971
0.0000 0.0000 4.9546
1.6519 1.7068 6.8759
1.6519 1.7068 2.2920
```

Symmetry: Cmmm
E_tot (eV per atom): -4.845



Entry 13:
The following is a PBE-GGA calculation of a geometry-optimized Zr2ZnCrH structure, from the Alexandria database.

POSCAR file:
```
Zr2ZnCrH
1.0
-3.7888 -1.2936 -2.1815
2.3624 -3.2267 -2.1897
-0.7115 -2.2752 2.5850
H Zr Cr Zn
1 2 1 1
Cartesian
0.0000 0.0000 0.0000
-1.8944 -0.6468 -1.0907
1.1812 -1.6133 -1.0949
-0.3558 -1.1376 1.2925
-1.0690 -3.3977 -0.8931
```

Symmetry: P4/mmm
E_tot (eV per atom): -6.394



Entry 14:
The following is a PBE-GGA calculation of a geometry-optimized Pu2AuO structure, from the Alexandria database.

POSCAR file:
```
Pu2AuO
1.0
4.0310 0.0000 0.0000
2.0155 3.4909 0.0000
2.0155 1.1636 5.2221
Pu Au O
2 1 1
Cartesian
6.0465 3.4909 3.0745
2.0155 1.1636 2.1476
0.0000 0.0000 0.0000
4.0310 2.3273 2.6111
```

Excess energy over the best structure of this formula in the dataset (meV per atom): 545
Symmetry: R-3m



Entry 15:
The following is a PBE-GGA calculation of a geometry-optimized AcEuSn2 structure, from the Alexandria database.

POSCAR file:
```
AcEuSn2
1.0
4.6075 0.0000 0.0000
0.0000 5.2769 0.0000
0.0000 0.0000 5.2769
Eu Sn Ac
1 2 1
Cartesian
2.3037 2.6384 2.6384
0.0000 0.0000 2.6384
0.0000 2.6384 0.0000
2.3037 0.0000 0.0000
```

Symmetry: P4/mmm
E_tot (eV per atom): -6.228



Entry 16:
The following is a PBE-GGA calculation of a geometry-optimized PmUTl2S6 structure, from the Alexandria database.

POSCAR file:
```
PmUTl2S6
1.0
7.1935 0.0000 -0.0187
0.0000 7.3157 0.0000
0.0356 0.0000 10.3826
Pm S Tl U
2 12 4 2
Cartesian
0.0178 3.6579 5.1913
3.5967 0.0000 -0.0094
2.1281 4.9867 0.4480
5.7426 5.9868 5.6299
1.4865 1.3289 4.7339
5.9460 5.8037 9.8579
1.2832 1.5121 0.5059
4.8977 2.1458 5.6878
4.2774 0.1967 2.7041
2.9518 7.1190 7.6597
2.3314 5.1699 4.6760
5.1011 2.3290 9.9158
6.5307 3.8546 2.4591
0.6985 3.4612 7.9047
3.5538 3.2992 2.5688
0.0608 6.9570 2.6131
7.1683 0.3587 7.7507
3.6754 4.0165 7.7950
0.0000 3.6579 0.0000
3.6146 0.0000 5.1819
```

Symmetry: P2_1/c
E_tot (eV per atom): -5.535



Entry 17:
The following is a PBE-GGA calculation of a geometry-optimized SrMnZn2 structure, from the Alexandria database.

POSCAR file:
```
SrMnZn2
1.0
-3.1416 -2.4763 1.1357
2.0630 -1.6177 2.1795
-0.5698 3.3048 5.6295
Mn Sr Zn
1 1 2
Cartesian
0.8101 0.4528 3.2283
-0.3691 0.0448 6.6893
-1.6426 -0.3651 2.2730
0.2998 -0.0783 0.6586
```

Symmetry: Pm
E_tot (eV per atom): -3.192



Entry 18:
The following is a PBE-GGA calculation of a geometry-optimized FeSi2Au structure, from the Alexandria database.

POSCAR file:
```
FeSi2Au
1.0
4.3916 0.0000 0.0000
2.1958 3.8032 0.0000
2.1958 1.2677 3.5857
Au Fe Si
1 1 2
Cartesian
4.3916 2.5355 1.7929
2.1958 1.2677 0.8964
0.0000 0.0000 0.0000
6.5874 3.8032 2.6893
```

Excess energy over the best structure of this formula in the dataset (meV per atom): 535
Symmetry: F-43m



Entry 19:
The following is a PBE-GGA calculation of a geometry-optimized ThSi3Ir structure, from the Alexandria database.

POSCAR file:
```
ThSi3Ir
1.0
5.7266 -0.0003 -0.0001
0.0000 5.5943 -0.0010
0.0001 0.0009 5.9594
Th Ir Si
2 2 6
Cartesian
2.4423 1.7825 4.1760
5.3055 0.1915 1.1964
0.9341 4.4282 4.1754
3.7974 3.1404 1.1958
5.1256 0.6188 4.1760
2.2624 1.3551 1.1963
2.5586 4.8043 5.8735
2.5585 4.8037 2.4772
5.4218 2.7646 2.8941
5.4217 2.7651 5.4570
```

Symmetry: Pmn2_1
E_tot (eV per atom): -7.233



Entry 20:
The following is a PBE-GGA calculation of a geometry-optimized Dy4Cu2Pd structure, from the Alexandria database.

POSCAR file:
```
Dy4Cu2Pd
1.0
-3.5989 0.4139 6.6655
-4.2651 -4.3833 -4.4210
7.9928 -2.3482 0.6048
Dy Pd Cu
8 2 4
Cartesian
1.6852 -5.3543 0.5930
-0.0886 -3.5129 3.5187
4.9869 -1.8289 1.5074
-4.3562 -2.7558 2.8186
-1.8323 -2.6839 0.5262
2.6810 -2.1439 4.9082
1.4083 -2.2041 -0.7451
-3.4833 -4.5530 -1.8788
-0.4965 -4.3750 -1.2165
4.1985 -1.9016 7.2316
-1.8944 -1.2419 3.1098
0.2876 -0.6498 5.3472
3.9072 -3.7718 -0.2785
2.3259 -2.8376 1.9988
```

Excess energy over the best structure of this formula in the dataset (meV per atom): 0
Symmetry: P1



Entry 21:
The following is a PBE-GGA calculation of a geometry-optimized Tb3SiP2Ir9 structure, from the Alexandria database.

POSCAR file:
```
Tb3SiP2Ir9
1.0
-2.3709 4.6917 2.0828
-3.2508 -4.0903 -2.1617
-0.5897 -4.3227 9.0663
Ir Si Tb P
9 1 3 2
Cartesian
-4.6187 -1.8203 6.5180
-3.2948 -4.0428 1.3375
-1.5926 -1.9010 2.4694
-1.6254 -2.0452 -1.0808
-2.8108 0.3007 -0.0394
-2.9165 0.3215 7.6499
-1.1854 2.3459 1.0414
-4.5363 -1.5861 2.4281
-1.6751 -2.1352 6.5593
-0.2948 -2.1614 4.5332
-3.2994 -3.6693 4.5098
-2.9120 -0.0520 4.4776
0.0000 0.0000 0.0000
-3.0531 -1.8639 0.7232
-3.1583 -1.8575 8.2643
```

Symmetry: P-3m1
E_tot (eV per atom): -7.787



Entry 22:
The following is a PBE-GGA calculation of a geometry-optimized YCr2Rh structure, from the Alexandria database.

POSCAR file:
```
YCr2Rh
1.0
-2.4340 1.5206 -0.4381
-2.0152 -3.5376 -1.0828
-1.4865 -0.8151 5.4294
Y Rh Cr
1 1 2
Cartesian
-3.3395 -1.6198 3.3116
-2.5962 -1.2123 0.5969
-0.6161 -0.3379 2.2505
-0.1271 -0.0697 0.4643
```

Excess energy over the best structure of this formula in the dataset (meV per atom): 263
Symmetry: Pmmm



Entry 23:
The following is a PBE-GGA calculation of a geometry-optimized Tm8NiAg2 structure, from the Alexandria database.

POSCAR file:
```
Tm8NiAg2
1.0
5.1427 0.0000 0.0000
0.0000 6.7023 0.1160
-2.5713 -2.7380 8.1175
Tm Ni Ag
8 1 2
Cartesian
0.0000 1.5679 6.7219
2.5713 2.3964 1.5117
0.0000 -1.6438 5.5602
2.5713 -1.1688 7.7073
0.0000 5.1331 0.5263
2.5713 5.6081 2.6733
0.0000 0.9589 3.2911
2.5713 3.0054 4.9425
2.5713 0.0000 0.0000
2.5713 0.1605 5.1524
0.0000 3.8038 3.0811
```

Excess energy over the best structure of this formula in the dataset (meV per atom): 0
Symmetry: C2/m



Entry 24:
The following is a PBE-GGA calculation of a geometry-optimized BeCr2Os structure, from the Alexandria database.

POSCAR file:
```
BeCr2Os
1.0
4.7297 0.0009 -0.0045
-2.3593 4.0993 -0.0045
0.3725 0.6444 2.4388
Cr Be Os
2 1 1
Cartesian
1.1852 2.0501 -0.0045
0.0000 0.0000 0.0000
-0.9934 2.3718 1.2172
2.5511 0.3226 1.2172
```

Symmetry: C2/m
E_tot (eV per atom): -8.439



Entry 25:
The following is a PBE-GGA calculation of a geometry-optimized RbThS2 structure, from the Alexandria database.

POSCAR file:
```
RbThS2
1.0
4.0958 0.0000 0.0000
2.0479 3.5470 0.0000
2.0479 1.1823 8.0286
S Rb Th
2 1 1
Cartesian
2.0479 1.1823 6.3761
2.0479 1.1823 1.6015
4.0958 2.3647 4.0977
6.1436 3.5470 7.9963
```

Symmetry: R3m
E_tot (eV per atom): -5.782